The following is a DFT calculation (PBE-GGA) of crystalline Ca2CdW at its relaxed geometry.

Summary:
Magnetic moment   0.000 μB/atom
Energy relative to the elements   0.58 eV per atom
Crystal system   tetragonal
Total DFT energy (no corrections)   -3.89 eV per atom

Geometry as CIF:
```
data_Ca2CdW
_cell_length_a 3.057
_cell_length_b 3.057
_cell_length_c 10.435
_cell_angle_alpha 90.00
_cell_angle_beta 90.00
_cell_angle_gamma 90.00
_space_group_name_H-M_alt 'P 4 m m'
_space_group_IT_number 99
_space_group_name_Hall 'P 4 -2'
loop_
_atom_site_label
_atom_site_type_symbol
_atom_site_fract_x
_atom_site_fract_y
_atom_site_fract_z
_atom_site_occupancy
Ca1 Ca 0.000 0.000 0.000 1
Ca2 Ca 0.500 0.500 0.328 1
Cd1 Cd 0.000 0.000 0.568 1
W1 W 0.500 0.500 0.774 1
```



The following is a DFT calculation (PBE-GGA) of crystalline KZn2P at its relaxed geometry.

Summary:
Magnetic moment   0.000 μB/atom
Energy relative to the elements   0.42 eV per atom
Crystal system   orthorhombic
Total DFT energy (no corrections)   -1.84 eV per atom

Geometry as CIF:
```
data_KZn2P
_cell_length_a 5.954
_cell_length_b 11.061
_cell_length_c 2.659
_cell_angle_alpha 90.00
_cell_angle_beta 90.00
_cell_angle_gamma 90.00
_space_group_name_H-M_alt 'C m m m'
_space_group_IT_number 65
_space_group_name_Hall '-C 2 2'
loop_
_atom_site_label
_atom_site_type_symbol
_atom_site_fract_x
_atom_site_fract_y
_atom_site_fract_z
_atom_site_occupancy
K1 K 0.000 0.000 0.000 1
Zn1 Zn 0.250 0.250 0.500 1
P1 P 0.000 0.500 0.000 1
```



The following is a DFT calculation (PBE-GGA) of crystalline KInAu2 at its relaxed geometry.

Summary:
Magnetic moment   0.000 μB/atom
Energy relative to the elements   -0.02 eV per atom
Crystal system   cubic
Total DFT energy (no corrections)   -2.61 eV per atom

Geometry as CIF:
```
data_KInAu2
_cell_length_a 7.297
_cell_length_b 7.297
_cell_length_c 7.297
_cell_angle_alpha 90.00
_cell_angle_beta 90.00
_cell_angle_gamma 90.00
_space_group_name_H-M_alt 'F -4 3 m'
_space_group_IT_number 216
_space_group_name_Hall 'F -4 2 3'
loop_
_atom_site_label
_atom_site_type_symbol
_atom_site_fract_x
_atom_site_fract_y
_atom_site_fract_z
_atom_site_occupancy
K1 K 0.000 0.000 0.000 1
In1 In 0.250 0.250 0.750 1
Au1 Au 0.000 0.000 0.500 1
Au2 Au 0.250 0.250 0.250 1
```



The following is a DFT calculation (PBE-GGA) of crystalline Ta2AlCu at its relaxed geometry.

Summary:
Magnetic moment   0.006 μB/atom
Energy relative to the elements   0.27 eV per atom
Crystal system   cubic
Total DFT energy (no corrections)   -7.62 eV per atom

Geometry as CIF:
```
data_Ta2AlCu
_cell_length_a 6.401
_cell_length_b 6.401
_cell_length_c 6.401
_cell_angle_alpha 90.00
_cell_angle_beta 90.00
_cell_angle_gamma 90.00
_space_group_name_H-M_alt 'F -4 3 m'
_space_group_IT_number 216
_space_group_name_Hall 'F -4 2 3'
loop_
_atom_site_label
_atom_site_type_symbol
_atom_site_fract_x
_atom_site_fract_y
_atom_site_fract_z
_atom_site_occupancy
Ta1 Ta 0.000 0.000 0.000 1
Ta2 Ta 0.250 0.250 0.250 1
Al1 Al 0.000 0.000 0.500 1
Cu1 Cu 0.250 0.250 0.750 1
```



The following is a DFT calculation (PBE-GGA) of crystalline Pr4ThSc at its relaxed geometry.

Summary:
Magnetic moment   0.000 μB/atom
Energy relative to the elements   0.18 eV per atom
Crystal system   monoclinic
Total DFT energy (no corrections)   -5.30 eV per atom

Geometry as CIF:
```
data_Pr4ThSc
_cell_length_a 10.352
_cell_length_b 11.536
_cell_length_c 7.627
_cell_angle_alpha 90.00
_cell_angle_beta 117.69
_cell_angle_gamma 90.00
_space_group_name_H-M_alt 'C 1 2/c 1'
_space_group_IT_number 15
_space_group_name_Hall '-C 2yc'
loop_
_atom_site_label
_atom_site_type_symbol
_atom_site_fract_x
_atom_site_fract_y
_atom_site_fract_z
_atom_site_occupancy
Pr1 Pr 0.075 0.241 0.002 1
Pr2 Pr 0.175 0.492 0.762 1
Th1 Th 0.000 0.021 0.250 1
Sc1 Sc 0.250 0.250 0.500 1
```



The following is a DFT calculation (PBE-GGA) of crystalline Nb7Te12Au at its relaxed geometry.

Summary:
Magnetic moment   0.000 μB/atom
Crystal system   trigonal
Total DFT energy (no corrections)   -5.77 eV per atom
ΔE_f (raw)   -198.2 meV/atom

Geometry as CIF:
```
data_Nb7Te12Au
_cell_length_a 14.1353
_cell_length_b 14.1353
_cell_length_c 9.3396
_cell_angle_alpha 90.00
_cell_angle_beta 90.00
_cell_angle_gamma 120.00
_space_group_name_H-M_alt 'R -3'
_space_group_IT_number 148
_space_group_name_Hall '-R 3'
loop_
_atom_site_label
_atom_site_type_symbol
_atom_site_fract_x
_atom_site_fract_y
_atom_site_fract_z
_atom_site_occupancy
Nb1 Nb 0.0000 0.0000 0.0000 1
Nb2 Nb 0.0513 0.8797 0.3149 1
Te1 Te 0.0299 0.4408 0.1678 1
Te2 Te 0.0564 0.8615 0.8465 1
Au1 Au 0.0000 0.0000 0.5000 1
```



The following is a DFT calculation (PBE-GGA) of crystalline KSb2As at its relaxed geometry.

Summary:
Magnetic moment   0.000 μB/atom
Crystal system   orthorhombic
Total DFT energy (no corrections)   -3.56 eV per atom
ΔE_f (raw)   -64.6 meV/atom

Geometry as CIF:
```
data_KSb2As
_cell_length_a 3.184
_cell_length_b 5.437
_cell_length_c 6.596
_cell_angle_alpha 90.00
_cell_angle_beta 90.00
_cell_angle_gamma 90.00
_space_group_name_H-M_alt 'P m m m'
_space_group_IT_number 47
_space_group_name_Hall '-P 2 2'
loop_
_atom_site_label
_atom_site_type_symbol
_atom_site_fract_x
_atom_site_fract_y
_atom_site_fract_z
_atom_site_occupancy
K1 K 0.000 0.000 0.000 1
Sb1 Sb 0.500 0.500 0.282 1
As1 As 0.500 0.000 0.500 1
```



The following is a DFT calculation (PBE-GGA) of crystalline Ce5AlOs3 at its relaxed geometry.

Summary:
Magnetic moment   0.258 μB/atom
Energy relative to the elements   -0.08 eV per atom
Crystal system   monoclinic
Total DFT energy (no corrections)   -7.54 eV per atom

Geometry as CIF:
```
data_Ce5AlOs3
_cell_length_a 12.262
_cell_length_b 9.002
_cell_length_c 9.552
_cell_angle_alpha 90.00
_cell_angle_beta 111.08
_cell_angle_gamma 90.00
_space_group_name_H-M_alt 'C 1 2/m 1'
_space_group_IT_number 12
_space_group_name_Hall '-C 2y'
loop_
_atom_site_label
_atom_site_type_symbol
_atom_site_fract_x
_atom_site_fract_y
_atom_site_fract_z
_atom_site_occupancy
Ce1 Ce 0.000 0.207 0.000 1
Ce2 Ce 0.036 0.000 0.344 1
Ce3 Ce 0.174 0.309 0.639 1
Ce4 Ce 0.232 0.500 0.057 1
Al1 Al 0.081 0.500 0.290 1
Os1 Os 0.000 0.500 0.000 1
Os2 Os 0.000 0.500 0.500 1
Os3 Os 0.166 0.000 0.160 1
Os4 Os 0.187 0.000 0.617 1
```



The following is a DFT calculation (PBE-GGA) of crystalline La4Pt3 at its relaxed geometry.

Summary:
Magnetic moment   0.000 μB/atom
Energy relative to the elements   -0.95 eV per atom
Crystal system   tetragonal
E above lowest polymorph   0.111 eV per atom
Total DFT energy (no corrections)   -6.35 eV per atom

Geometry as CIF:
```
data_La4Pt3
_cell_length_a 4.064
_cell_length_b 4.064
_cell_length_c 24.927
_cell_angle_alpha 90.00
_cell_angle_beta 90.00
_cell_angle_gamma 90.00
_space_group_name_H-M_alt 'I 4/m m m'
_space_group_IT_number 139
_space_group_name_Hall '-I 4 2'
loop_
_atom_site_label
_atom_site_type_symbol
_atom_site_fract_x
_atom_site_fract_y
_atom_site_fract_z
_atom_site_occupancy
La1 La 0.000 0.000 0.062 1
La2 La 0.000 0.000 0.309 1
Pt1 Pt 0.000 0.000 0.182 1
Pt2 Pt 0.000 0.000 0.500 1
```



The following is a DFT calculation (PBE-GGA) of crystalline CaTa2P at its relaxed geometry.

Summary:
Magnetic moment   0.000 μB/atom
Energy relative to the elements   0.59 eV per atom
Crystal system   orthorhombic
E above lowest polymorph   0.743 eV per atom
Total DFT energy (no corrections)   -7.19 eV per atom

Geometry as CIF:
```
data_CaTa2P
_cell_length_a 5.718
_cell_length_b 7.956
_cell_length_c 3.272
_cell_angle_alpha 90.00
_cell_angle_beta 90.00
_cell_angle_gamma 90.00
_space_group_name_H-M_alt 'C m m m'
_space_group_IT_number 65
_space_group_name_Hall '-C 2 2'
loop_
_atom_site_label
_atom_site_type_symbol
_atom_site_fract_x
_atom_site_fract_y
_atom_site_fract_z
_atom_site_occupancy
Ca1 Ca 0.000 0.000 0.000 1
Ta1 Ta 0.250 0.250 0.500 1
P1 P 0.000 0.500 0.000 1
```



The following is a DFT calculation (PBE-GGA) of crystalline AlRh2Br at its relaxed geometry.

Summary:
Magnetic moment   0.000 μB/atom
Crystal system   tetragonal
E above lowest polymorph   0.483 eV per atom
Total DFT energy (no corrections)   -4.86 eV per atom
ΔE_f (raw)   166.5 meV/atom

Geometry as CIF:
```
data_AlRh2Br
_cell_length_a 3.685
_cell_length_b 3.685
_cell_length_c 9.427
_cell_angle_alpha 90.00
_cell_angle_beta 90.00
_cell_angle_gamma 90.00
_space_group_name_H-M_alt 'I -4 m 2'
_space_group_IT_number 119
_space_group_name_Hall 'I -4 -2'
loop_
_atom_site_label
_atom_site_type_symbol
_atom_site_fract_x
_atom_site_fract_y
_atom_site_fract_z
_atom_site_occupancy
Al1 Al 0.000 0.000 0.000 1
Rh1 Rh 0.000 0.000 0.500 1
Rh2 Rh 0.000 0.500 0.250 1
Br1 Br 0.000 0.500 0.750 1
```



The following is a DFT calculation (PBE-GGA) of crystalline Cu2MoAu at its relaxed geometry.

Summary:
Magnetic moment   0.000 μB/atom
Energy relative to the elements   0.31 eV per atom
Crystal system   monoclinic
E above lowest polymorph   0.176 eV per atom
Total DFT energy (no corrections)   -5.26 eV per atom

Geometry as CIF:
```
data_Cu2MoAu
_cell_length_a 4.738
_cell_length_b 2.656
_cell_length_c 4.945
_cell_angle_alpha 90.00
_cell_angle_beta 107.04
_cell_angle_gamma 90.00
_space_group_name_H-M_alt 'P 1 2/m 1'
_space_group_IT_number 10
_space_group_name_Hall '-P 2y'
loop_
_atom_site_label
_atom_site_type_symbol
_atom_site_fract_x
_atom_site_fract_y
_atom_site_fract_z
_atom_site_occupancy
Cu1 Cu 0.000 0.000 0.000 1
Cu2 Cu 0.000 0.500 0.500 1
Mo1 Mo 0.500 0.000 0.500 1
Au1 Au 0.500 0.500 0.000 1
```



- Number 12 is which compound?
  Cu2MoAu



- The lowest total DFT energy (no corrections) belongs to which entry?
  Ta2AlCu



Repeat the sixth record exactly.
The following is a DFT calculation (PBE-GGA) of crystalline Nb7Te12Au at its relaxed geometry.

Summary:
Magnetic moment   0.000 μB/atom
Crystal system   trigonal
Total DFT energy (no corrections)   -5.77 eV per atom
ΔE_f (raw)   -198.2 meV/atom

Geometry as CIF:
```
data_Nb7Te12Au
_cell_length_a 14.1353
_cell_length_b 14.1353
_cell_length_c 9.3396
_cell_angle_alpha 90.00
_cell_angle_beta 90.00
_cell_angle_gamma 120.00
_space_group_name_H-M_alt 'R -3'
_space_group_IT_number 148
_space_group_name_Hall '-R 3'
loop_
_atom_site_label
_atom_site_type_symbol
_atom_site_fract_x
_atom_site_fract_y
_atom_site_fract_z
_atom_site_occupancy
Nb1 Nb 0.0000 0.0000 0.0000 1
Nb2 Nb 0.0513 0.8797 0.3149 1
Te1 Te 0.0299 0.4408 0.1678 1
Te2 Te 0.0564 0.8615 0.8465 1
Au1 Au 0.0000 0.0000 0.5000 1
```



- The highest total DFT energy (no corrections) belongs to which entry?
  KZn2P